A plane-wave DFT calculation with PBE was carried out for crystalline Re2SbMo at its relaxed geometry.

## Properties
- symmetry = Cmmm, No. 65
- theoretical density (kg/m3) = 14685
- E_form (uncorrected) (eV/f.u.) = 2.26
- E_tot (eV/atom) = -9.3978

Cell lengths 4.916, 4.916, 3.029 Å; angles 90.00, 90.00, 114.26 degrees
Fractional coordinates of all 4 atoms:
Re (0.500, 0.500, 0.000)
Re (0.000, 0.000, 0.000)
Sb (0.500, 0.000, 0.500)
Mo (0.000, 0.500, 0.500)